[1]
Here is an optimized crystal structure of PmNd2Sm6Mg from the Alexandria database. Energies are from PBE.

Computed properties:
Fermi-level density of states = 13.165 states/eV/f.u.
symmetry = No. 15
raw total energy = -4.31 eV per atom

Cell and atoms, written as extended XYZ:
```
20
Lattice="4.666 -7.762 0.000 4.666 7.762 0.000 -0.440 0.000 9.209" Properties=species:S:1:pos:R:3 pbc="T T T"
Pm 4.337 7.392 6.907
Pm 4.556 -7.392 2.302
Nd 2.294 0.888 5.085
Nd 2.514 -0.888 0.480
Nd 6.379 0.888 8.729
Nd 6.599 -0.888 4.125
Sm 1.883 3.276 2.672
Sm 4.306 4.970 0.516
Sm 4.807 4.970 4.089
Sm 3.214 1.793 8.298
Sm 1.663 -3.276 7.277
Sm 5.459 1.793 5.516
Sm 3.434 -1.793 3.694
Sm 7.230 3.276 1.932
Sm 5.679 -1.793 0.911
Sm 4.086 -4.970 5.121
Sm 4.587 -4.970 8.694
Sm 7.010 -3.276 6.537
Mg 4.556 1.216 2.302
Mg 4.337 -1.216 6.907
```

***

[2]
Here is an optimized crystal structure of Pm6Nd2Sm3Mg from the Alexandria database. Energies are from PBE.

Computed properties:
Fermi-level density of states = 15.715 states/eV/f.u.
symmetry = No. 12
raw total energy = -4.47 eV per atom

Cell and atoms, written as extended XYZ:
```
12
Lattice="3.135 -5.434 0.000 3.135 5.434 0.000 -2.100 0.000 11.792" Properties=species:S:1:pos:R:3 pbc="T T T"
Pm -0.021 1.796 8.835
Pm 1.031 0.000 2.942
Pm -0.021 -1.796 8.835
Pm 4.191 1.796 2.957
Pm 3.138 0.000 8.849
Pm 4.191 -1.796 2.957
Nd 2.085 1.817 5.896
Nd 2.085 -1.817 5.896
Sm 3.135 3.626 0.000
Sm 3.135 0.000 0.000
Sm 3.135 -3.626 0.000
Mg -1.050 0.000 5.896
```

***

[3]
Here is an optimized crystal structure of PmNd2SmMg from the Alexandria database. Energies are from PBE.

Computed properties:
Fermi-level density of states = 7.050 states/eV/f.u.
symmetry = No. 51
raw total energy = -3.97 eV per atom

Cell and atoms, written as extended XYZ:
```
10
Lattice="6.071 0.000 0.000 0.000 7.401 0.000 0.000 0.000 7.371" Properties=species:S:1:pos:R:3 pbc="T T T"
Pm 1.518 0.000 1.142
Pm 4.553 0.000 6.229
Nd 1.518 1.609 5.066
Nd 1.518 5.792 5.066
Nd 4.553 1.609 2.305
Nd 4.553 5.792 2.305
Sm 1.518 3.701 2.737
Sm 4.553 3.701 4.634
Mg 0.000 3.701 0.000
Mg 3.035 3.701 0.000
```

***

[4]
Here is an optimized crystal structure of Pm2NdSm2Mg from the Alexandria database. Energies are from PBE.

Computed properties:
Fermi-level density of states = 8.815 states/eV/f.u.
symmetry = No. 58
raw total energy = -4.00 eV per atom

Cell and atoms, written as extended XYZ:
```
12
Lattice="6.195 0.000 0.000 0.000 18.943 0.000 0.000 0.000 3.443" Properties=species:S:1:pos:R:3 pbc="T T T"
Pm 1.030 2.594 0.000
Pm 2.068 12.065 1.721
Pm 4.127 6.878 1.721
Pm 5.165 16.349 0.000
Nd 0.000 9.471 1.721
Nd 3.097 0.000 0.000
Sm 1.026 5.658 1.721
Sm 2.071 15.129 0.000
Sm 4.124 3.814 0.000
Sm 5.169 13.285 1.721
Mg 0.000 0.000 1.721
Mg 3.097 9.471 0.000
```

***

[5]
Here is an optimized crystal structure of PmNd2Sm4Mg from the Alexandria database. Energies are from PBE.

Computed properties:
Fermi-level density of states = 10.820 states/eV/f.u.
symmetry = No. 10
raw total energy = -4.33 eV per atom

Cell and atoms, written as extended XYZ:
```
8
Lattice="5.064 0.000 0.000 0.000 5.044 0.000 -0.009 0.000 10.310" Properties=species:S:1:pos:R:3 pbc="T T T"
Pm 0.000 0.000 0.000
Nd -0.005 0.000 5.155
Nd 2.532 2.522 0.000
Sm 0.000 2.522 2.614
Sm 5.054 2.522 7.696
Sm 2.522 0.000 7.694
Sm 2.532 0.000 2.616
Mg 2.527 2.522 5.155
```

***

[6]
Here is an optimized crystal structure of PmNd6Sm2Mg from the Alexandria database. Energies are from PBE.

Computed properties:
Fermi-level density of states = 13.936 states/eV/f.u.
symmetry = No. 15
raw total energy = -4.33 eV per atom

Cell and atoms, written as extended XYZ:
```
20
Lattice="4.694 -7.802 0.000 4.694 7.802 0.000 -0.498 0.000 9.283" Properties=species:S:1:pos:R:3 pbc="T T T"
Pm 4.320 7.401 6.962
Pm 4.569 -7.401 2.321
Nd 1.905 3.309 2.732
Nd 4.304 5.042 0.509
Nd 4.835 5.042 4.132
Nd 3.211 1.796 8.351
Nd 1.656 -3.309 7.374
Nd 5.430 1.796 5.574
Nd 3.460 -1.796 3.709
Nd 7.234 3.309 1.909
Nd 5.679 -1.796 0.932
Nd 4.055 -5.042 5.151
Nd 4.586 -5.042 8.774
Nd 6.985 -3.309 6.551
Sm 2.252 0.854 5.123
Sm 2.501 -0.854 0.482
Sm 6.389 0.854 8.801
Sm 6.638 -0.854 4.160
Mg 4.569 1.205 2.321
Mg 4.320 -1.205 6.962
```

***

[7]
Here is an optimized crystal structure of Pm2Nd6Sm3Mg from the Alexandria database. Energies are from PBE.

Computed properties:
Fermi-level density of states = 14.571 states/eV/f.u.
symmetry = No. 12
raw total energy = -4.47 eV per atom

Cell and atoms, written as extended XYZ:
```
12
Lattice="3.148 -5.454 0.000 3.148 5.454 0.000 -2.105 0.000 11.799" Properties=species:S:1:pos:R:3 pbc="T T T"
Pm 3.148 3.629 0.000
Pm 3.148 -3.629 0.000
Nd 0.007 1.804 8.866
Nd 1.058 0.000 2.948
Nd 0.007 -1.804 8.866
Nd 4.183 1.804 2.933
Nd 3.132 0.000 8.851
Nd 4.183 -1.804 2.933
Sm -1.053 0.000 5.899
Sm 2.095 1.815 5.899
Sm 2.095 -1.815 5.899
Mg 3.148 0.000 0.000
```

***

[8]
Here is an optimized crystal structure of PmNdSm2Mg from the Alexandria database. Energies are from PBE.

Computed properties:
Fermi-level density of states = 6.817 states/eV/f.u.
symmetry = No. 51
raw total energy = -3.95 eV per atom

Cell and atoms, written as extended XYZ:
```
10
Lattice="6.075 0.000 0.000 0.000 7.370 0.000 0.000 0.000 7.329" Properties=species:S:1:pos:R:3 pbc="T T T"
Pm 1.519 0.000 0.942
Pm 4.556 0.000 6.387
Nd 1.519 3.685 2.490
Nd 4.556 3.685 4.839
Sm 1.519 2.075 5.955
Sm 1.519 5.294 5.955
Sm 4.556 2.075 1.374
Sm 4.556 5.294 1.374
Mg 0.000 0.000 3.665
Mg 3.037 0.000 3.665
```

***

[9]
Here is an optimized crystal structure of Pm6Nd3Sm2Mg from the Alexandria database. Energies are from PBE.

Computed properties:
Fermi-level density of states = 15.884 states/eV/f.u.
symmetry = No. 12
raw total energy = -4.47 eV per atom

Cell and atoms, written as extended XYZ:
```
12
Lattice="3.141 -5.446 0.000 3.141 5.446 0.000 -2.107 0.000 11.799" Properties=species:S:1:pos:R:3 pbc="T T T"
Pm 1.031 1.802 2.908
Pm -0.019 0.000 8.874
Pm 1.031 -1.802 2.908
Pm 3.144 1.802 8.891
Pm 4.194 0.000 2.925
Pm 3.144 -1.802 8.891
Nd 2.087 3.630 5.900
Nd 2.087 0.000 5.900
Nd 2.087 -3.630 5.900
Sm 3.141 1.819 0.000
Sm 3.141 -1.819 0.000
Mg 0.000 0.000 0.000
```

***

[10]
Here is an optimized crystal structure of PmNdSmMg from the Alexandria database. Energies are from PBE.

Computed properties:
Fermi-level density of states = 5.957 states/eV/f.u.
symmetry = No. 216
raw total energy = -3.90 eV per atom

Cell and atoms, written as extended XYZ:
```
4
Lattice="0.000 3.989 3.989 3.989 0.000 3.989 3.989 3.989 0.000" Properties=species:S:1:pos:R:3 pbc="T T T"
Pm 0.000 0.000 0.000
Nd 5.983 5.983 5.983
Sm 1.994 1.994 1.994
Mg 3.989 3.989 3.989
```

***

[11]
Here is an optimized crystal structure of Pm2Nd4Sm2Mg from the Alexandria database. Energies are from PBE.

Computed properties:
Fermi-level density of states = 12.311 states/eV/f.u.
symmetry = No. 2
raw total energy = -4.39 eV per atom

Cell and atoms, written as extended XYZ:
```
9
Lattice="6.270 0.000 0.000 1.067 6.185 0.000 1.056 1.932 7.754" Properties=species:S:1:pos:R:3 pbc="T T T"
Pm 1.043 0.892 2.184
Pm 7.350 7.225 5.569
Nd 3.122 2.625 6.480
Nd 4.227 5.629 4.731
Nd 4.166 2.488 3.022
Nd 5.271 5.492 1.274
Sm 2.118 3.893 0.464
Sm 6.275 4.224 7.289
Mg 1.061 4.058 3.877
```

***

[12]
Here is an optimized crystal structure of Pm2Nd2Sm2Mg from the Alexandria database. Energies are from PBE.

Computed properties:
Fermi-level density of states = 10.686 states/eV/f.u.
symmetry = No. 12
raw total energy = -4.21 eV per atom

Cell and atoms, written as extended XYZ:
```
7
Lattice="5.937 -1.796 0.000 5.937 1.796 0.000 -4.479 0.000 10.988" Properties=species:S:1:pos:R:3 pbc="T T T"
Pm 1.194 0.000 4.013
Pm 6.201 0.000 6.975
Nd 4.332 0.000 2.630
Nd 3.064 0.000 8.358
Sm -0.191 0.000 10.050
Sm 7.586 0.000 0.938
Mg -2.239 0.000 5.494
```